1.
Below is a relaxed SnMoN3 crystal, with properties calculated at the PBE level.

Unit cell a=4.0517 b=4.0517 c=4.0517 alpha=90.00 beta=90.00 gamma=90.00
Space group Pm-3m (No. 221)
Asymmetric unit:
Sn  0.0000  0.0000  0.0000 (multiplicity 1)
Mo  0.5000  0.5000  0.5000 (multiplicity 1)
N  0.0000  0.0000  0.5000 (multiplicity 3)

* N(E_F): 0.487 states/eV per atom
* formation energy (no corrections): 1.79 eV per atom
* total moment: 1.007 Bohr magnetons per cell

***

2.
Below is a relaxed Ce2Pm2Sb3 crystal, with properties calculated at the PBE level.

Unit cell a=14.6328 b=4.4250 c=7.6277 alpha=90.00 beta=99.17 gamma=90.00
Space group C2/m (No. 12)
Asymmetric unit:
Ce  0.1193  0.0000  0.3820 (multiplicity 4)
Pm  0.1259  0.5000  0.8736 (multiplicity 4)
Sb  0.0000  0.0000  0.0000 (multiplicity 2)
Sb  0.2449  0.5000  0.2537 (multiplicity 4)

* N(E_F): 2.553 states/eV per atom
* formation energy (no corrections): -0.80 eV per atom
* total moment: 4.389 Bohr magnetons per cell

***

3.
Below is a relaxed Ga5Co4Rh crystal, with properties calculated at the PBE level.

Unit cell a=2.9286 b=2.9286 c=14.4368 alpha=90.00 beta=90.00 gamma=90.00
Space group P4/mmm (No. 123)
Asymmetric unit:
Ga  0.0000  0.0000  0.0000 (multiplicity 1)
Ga  0.0000  0.0000  0.1953 (multiplicity 2)
Ga  0.0000  0.0000  0.3898 (multiplicity 2)
Co  0.5000  0.5000  0.0979 (multiplicity 2)
Co  0.5000  0.5000  0.2936 (multiplicity 2)
Rh  0.5000  0.5000  0.5000 (multiplicity 1)

* N(E_F): 0.479 states/eV per atom
* total moment: 0.871 Bohr magnetons per cell
* energy of formation from the pure elements: -355 meV/atom

***

Q: Which formula does entry 1 have?
A: SnMoN3

***

Q: Which of these has the lowest total moment?
A: Ga5Co4Rh